Material: TbHo2Co6
Method: DFT, GGA-PBE
State: relaxed Values from VASP.

Cell and atoms, written as Quantum ESPRESSO input:
```
&SYSTEM
  ibrav = 0, nat = 9, ntyp = 3
/
ATOMIC_SPECIES
Ho 164.93 Ho.upf
Tb 158.93 Tb.upf
Co 58.93 Co.upf
ATOMIC_POSITIONS angstrom
Ho -1.943 3.024 4.247
Ho 2.907 1.654 1.889
Tb 5.571 3.636 -0.041
Co -0.041 2.119 2.119
Co -1.654 0.579 5.949
Co 2.865 3.773 4.002
Co 1.005 2.559 4.016
Co 2.618 4.099 0.186
Co -1.901 0.905 2.133
CELL_PARAMETERS angstrom
-2.185 3.353 0.427
-2.421 -2.311 5.749
5.571 3.636 -0.041
```

The space-group type is P6/mmm, No. 191. The spin magnetization comes out at 4.4 μB per formula unit. The value obtained for the density of states at the Fermi level is 6.8 states/eV/f.u. For the formation energy, the calculation gives -187 meV per atom. As for the calculated volume: 154 Å³/cell.

Material: TbHo4Co4
Method: DFT, GGA-PBE
State: relaxed Values from VASP.

Cell and atoms, written as Quantum ESPRESSO input:
```
&SYSTEM
  ibrav = 0, nat = 18, ntyp = 3
/
ATOMIC_SPECIES
Ho 164.93 Ho.upf
Co 58.93 Co.upf
Tb 158.93 Tb.upf
ATOMIC_POSITIONS angstrom
Ho 4.893 4.829 6.807
Ho 2.120 5.762 0.640
Ho 0.653 1.572 4.829
Ho 2.120 2.617 7.739
Ho 0.653 6.807 3.550
Ho 4.893 3.550 1.572
Ho 3.426 7.739 5.762
Ho 3.426 0.640 2.617
Co 3.518 1.982 5.349
Co 2.028 5.349 6.396
Co 0.745 7.220 6.172
Co 2.028 3.030 1.982
Co 4.802 2.207 7.220
Co 3.518 6.396 3.030
Co 0.745 1.159 2.207
Co 4.802 6.172 1.159
Tb 2.773 4.189 4.189
Tb 0.000 0.000 0.000
CELL_PARAMETERS angstrom
5.546 0.000 0.000
0.000 8.379 0.000
0.000 0.000 8.379
```

The space-group type is P4_2/n, No. 86. The spin magnetization comes out at 0.0 μB per formula unit. The value obtained for the density of states at the Fermi level is 5.3 states/eV/f.u. For the formation energy, the calculation gives -71 meV per atom. As for the calculated volume: 389 Å³/cell.

Material: TbHo4Co2
Method: DFT, GGA-PBE
State: relaxed Values from VASP.

Cell and atoms, written as Quantum ESPRESSO input:
```
&SYSTEM
  ibrav = 0, nat = 14, ntyp = 3
/
ATOMIC_SPECIES
Ho 164.93 Ho.upf
Co 58.93 Co.upf
Tb 158.93 Tb.upf
ATOMIC_POSITIONS angstrom
Ho -3.972 -1.160 3.626
Ho -0.335 -0.891 2.760
Ho -3.636 -2.617 6.949
Ho -1.254 -0.789 6.024
Ho 2.983 -3.747 5.661
Ho -0.654 -4.016 6.527
Ho 2.647 -2.290 2.338
Ho 0.265 -4.118 3.263
Co -2.237 -3.047 4.364
Co 0.027 -6.898 2.585
Co 1.248 -1.860 4.922
Co -1.016 1.990 6.702
Tb -2.791 -3.618 1.812
Tb 1.802 -1.290 7.475
CELL_PARAMETERS angstrom
-4.806 -3.688 1.866
5.025 -5.773 1.531
-1.208 4.554 5.890
```

The space-group type is P2_1/m, No. 11. The spin magnetization comes out at 0.0 μB per formula unit. The value obtained for the density of states at the Fermi level is 7.8 states/eV/f.u. For the formation energy, the calculation gives -64 meV per atom. As for the calculated volume: 343 Å³/cell.

Material: Tb6HoCo2
Method: DFT, GGA-PBE
State: relaxed Values from VASP.

Cell and atoms, written as Quantum ESPRESSO input:
```
&SYSTEM
  ibrav = 0, nat = 18, ntyp = 3
/
ATOMIC_SPECIES
Tb 158.93 Tb.upf
Co 58.93 Co.upf
Ho 164.93 Ho.upf
ATOMIC_POSITIONS angstrom
Tb -0.461 1.714 5.936
Tb 0.994 4.683 3.933
Tb 2.780 5.407 0.920
Tb 4.077 5.111 -2.307
Tb 5.350 1.418 5.989
Tb 0.835 1.418 2.709
Tb -1.734 5.407 -2.360
Tb 5.669 0.194 0.802
Tb 3.921 2.674 3.208
Tb -2.053 6.631 2.826
Tb 2.621 2.142 -0.304
Tb -0.306 4.151 0.421
Co 1.281 4.332 -1.763
Co 2.335 2.493 5.391
Co 3.129 0.000 2.273
Co 5.054 0.000 3.672
Ho -2.254 3.199 3.103
Ho 0.000 0.000 0.000
CELL_PARAMETERS angstrom
8.124 0.428 -2.577
-4.568 6.825 -2.317
0.060 -0.428 8.523
```

The space-group type is Immm, No. 71. The spin magnetization comes out at 0.0 μB per formula unit. The value obtained for the density of states at the Fermi level is 10.4 states/eV/f.u. For the formation energy, the calculation gives -41 meV per atom. As for the calculated volume: 477 Å³/cell.